# InGaMoF6 PBE+U optimized geometry
# Calculated density   4.0 g cm⁻³
# E_tot   -4.87 eV/atom
# Size of the total moment   0.44 μB per atom
data_InGaMoF6
_space_group_name_H-M_alt 'P 1'
_space_group_IT_number 1
_cell_length_a 5.622
_cell_length_b 5.710
_cell_length_c 5.725
_cell_angle_alpha 115.80
_cell_angle_beta 90.84
_cell_angle_gamma 90.91
loop_
_space_group_symop_operation_xyz
'x,y,z'
loop_
_atom_site_label
_atom_site_type_symbol
_atom_site_fract_x
_atom_site_fract_y
_atom_site_fract_z
In1 In 0.000 0.000 0.000
Ga1 Ga 0.500 0.679 0.321
Mo1 Mo 0.500 0.341 0.660
F1 F 0.282 0.686 0.070
F2 F 0.311 0.399 0.352
F3 F 0.335 0.965 0.598
F4 F 0.665 0.403 0.035
F5 F 0.689 0.648 0.599
F6 F 0.716 0.931 0.312